VASP calculation (PBE-GGA) on a geometry-optimized Na2LaBrCl structure.

It has space group P4/mmm (No. 123), with a = 7.0553 Å, b = 7.0553 Å, c = 5.4117 Å, α = 90.00°, β = 90.00° and γ = 90.00°. The distinct sites, in fractional coordinates, are Na at (0.0000, 0.5000, 0.0000), La at (0.0000, 0.0000, 0.0000), Br at (0.5000, 0.5000, 0.5000) and Cl at (0.0000, 0.0000, 0.5000).

VASP calculation (PBE-GGA) on a geometry-optimized La4NiBrCl2 structure.

It has space group P2/m (No. 10), with a = 7.0927 Å, b = 4.0657 Å, c = 7.9940 Å, α = 90.00°, β = 108.65° and γ = 90.00°. The distinct sites, in fractional coordinates, are La at (0.2298, 0.0000, 0.2105), La at (0.2668, 0.5000, 0.7784), Ni at (0.0000, 0.5000, 0.0000), Br at (0.0000, 0.0000, 0.5000), Cl at (0.5000, 0.0000, 0.0000) and Cl at (0.5000, 0.5000, 0.5000).

VASP calculation (PBE-GGA) on a geometry-optimized La4NiBr2Cl structure.

It has space group P2/m (No. 10), with a = 7.1868 Å, b = 4.0653 Å, c = 8.1263 Å, α = 90.00°, β = 108.24° and γ = 90.00°. The distinct sites, in fractional coordinates, are La at (0.2241, 0.0000, 0.2036), La at (0.2638, 0.5000, 0.7826), Ni at (0.0000, 0.5000, 0.0000), Br at (0.0000, 0.0000, 0.5000), Br at (0.5000, 0.5000, 0.5000) and Cl at (0.5000, 0.0000, 0.0000).

VASP calculation (PBE-GGA) on a geometry-optimized La6Ni2BrCl3 structure.

It has space group C2/m (No. 12), with a = 18.6108 Å, b = 4.0199 Å, c = 8.8787 Å, α = 90.00°, β = 99.61° and γ = 90.00°. The distinct sites, in fractional coordinates, are La at (0.0022, 0.0000, 0.2754), La at (0.1668, 0.5000, 0.5575), La at (0.1711, 0.5000, 0.1289), Ni at (0.1616, 0.0000, 0.3307), Br at (0.0000, 0.5000, 0.0000), Cl at (0.0000, 0.5000, 0.5000) and Cl at (0.1661, 0.0000, 0.8438).

VASP calculation (PBE-GGA) on a geometry-optimized La4Br3ClO4 structure.

It has space group Amm2 (No. 38), with a = 4.1283 Å, b = 8.2599 Å, c = 15.3322 Å, α = 90.00°, β = 90.00° and γ = 90.00°. The distinct sites, in fractional coordinates, are La at (0.0000, 0.0000, 0.0000), La at (0.0000, 0.0000, 0.4968), La at (0.5000, 0.2469, 0.6565), Br at (0.0000, 0.0000, 0.2569), Br at (0.5000, 0.2424, 0.8949), Cl at (0.0000, 0.0000, 0.7441), O at (0.0000, 0.2490, 0.5767), O at (0.5000, 0.0000, 0.0792) and O at (0.5000, 0.0000, 0.5742).

VASP calculation (PBE-GGA) on a geometry-optimized La3OsBrCl structure.

It has space group P2_1/m (No. 11), with a = 9.4207 Å, b = 4.2266 Å, c = 10.1508 Å, α = 90.00°, β = 93.17° and γ = 90.00°. The distinct sites, in fractional coordinates, are La at (0.0877, 0.2500, 0.3568), La at (0.1567, 0.2500, 0.9160), La at (0.3261, 0.7500, 0.6414), Os at (0.1237, 0.2500, 0.6501), Br at (0.3913, 0.7500, 0.3420) and Cl at (0.3687, 0.7500, 0.9265).

VASP calculation (PBE-GGA) on a geometry-optimized La4OsBr2Cl structure.

It has space group P2/m (No. 10), with a = 7.4631 Å, b = 4.1586 Å, c = 7.9905 Å, α = 90.00°, β = 107.21° and γ = 90.00°. The distinct sites, in fractional coordinates, are La at (0.2143, 0.0000, 0.2056), La at (0.2489, 0.5000, 0.7875), Os at (0.0000, 0.5000, 0.0000), Br at (0.0000, 0.0000, 0.5000), Br at (0.5000, 0.5000, 0.5000) and Cl at (0.5000, 0.0000, 0.0000).

VASP calculation (PBE-GGA) on a geometry-optimized La8Os3BrCl4 structure.

It has space group R-3m (No. 166, hexagonal axes), with a = 8.5269 Å, b = 8.5269 Å, c = 22.4399 Å, α = 90.00°, β = 90.00° and γ = 120.00°. The distinct sites, in fractional coordinates, are La at (0.0000, 0.0000, 0.2365), La at (0.0290, 0.5145, 0.7635), Os at (0.0000, 0.5000, 0.5000), Br at (0.0000, 0.0000, 0.5000), Cl at (0.0000, 0.0000, 0.0000) and Cl at (0.0000, 0.5000, 0.0000).

Energy relative to the elements, uncorrected list, top to bottom, in eV/atom: -0.414; -1.203; -1.152; -1.120; -3.034; -1.074; -1.142; -1.058